Entry 1:
A PBEsol-optimized structure of In3PC, computed with meta-GGA SCAN.

a = 4.6236 Å, b = 4.6236 Å, c = 4.6236 Å
α = 90.00°, β = 90.00°, γ = 90.00°
Last column: nearest neighbours and their distance in Å.
Atoms (fractional coordinates):
P 0.5000 0.5000 0.5000  12 In 3.27
C 0.0000 0.0000 0.0000  6 In 2.31
In 0.0000 0.5000 0.0000  2 C 2.31
In 0.0000 0.0000 0.5000  2 C 2.31
In 0.5000 0.0000 0.0000  2 C 2.31

Crystal system: cubic
DOS at the Fermi energy, states/eV/atom: 0.27
Energy relative to the elements, eV per atom: 0.83



Entry 2:
A PBEsol-optimized structure of B2P2Cl, computed with meta-GGA SCAN.

a = 3.9188 Å, b = 3.9188 Å, c = 4.8065 Å
α = 114.06°, β = 114.06°, γ = 90.00°
Last column: nearest neighbours and their distance in Å.
Atoms (fractional coordinates):
P 0.3533 0.3533 0.7066  4 B 2.12, 1 P 2.30
P 0.6467 0.6467 0.2934  4 B 2.12, 1 P 2.30
B 0.2500 0.7500 0.5000  4 P 2.12
B 0.7500 0.2500 0.5000  4 P 2.12
Cl 0.0000 0.0000 0.0000  8 B 2.77, 10 P 2.77-3.00

E, eV for the cell shown: -41.0
Crystal system: tetragonal
DOS at the Fermi energy, states/eV/atom: 0.16



Entry 3:
A PBEsol-optimized structure of Ca2NiSe, computed with meta-GGA SCAN.

a = 4.0174 Å, b = 4.0174 Å, c = 7.2058 Å
α = 73.81°, β = 73.81°, γ = 60.00°
Last column: nearest neighbours and their distance in Å.
Atoms (fractional coordinates):
Ni 0.5000 0.5000 0.5000  6 Ca 2.87
Ca 0.7510 0.7510 0.7471  3 Ni 2.87, 3 Se 2.89
Ca 0.2490 0.2490 0.2529  3 Ni 2.87, 3 Se 2.89
Se 0.0000 0.0000 0.0000  6 Ca 2.89

E, eV for the cell shown: -59.0
Crystal system: trigonal
DOS at the Fermi energy, states/eV/atom: 0.38



Entry 4:
A PBEsol-optimized structure of ZrSn3O, computed with meta-GGA SCAN.

a = 4.6435 Å, b = 4.6435 Å, c = 4.6435 Å
α = 90.00°, β = 90.00°, γ = 90.00°
Last column: nearest neighbours and their distance in Å.
Atoms (fractional coordinates):
O 0.0000 0.0000 0.0000  6 Sn 2.32
Sn 0.0000 0.5000 0.0000  2 O 2.32
Sn 0.0000 0.0000 0.5000  2 O 2.32
Sn 0.5000 0.0000 0.0000  2 O 2.32
Zr 0.5000 0.5000 0.5000  12 Sn 3.28

E, eV for the cell shown: -146.4
Crystal system: cubic
DOS at the Fermi energy, states/eV/atom: 0.53



Entry 5:
A PBEsol-optimized structure of KCa2Ir, computed with meta-GGA SCAN.

a = 4.2683 Å, b = 4.9074 Å, c = 4.9074 Å
α = 90.00°, β = 90.00°, γ = 90.00°
Last column: nearest neighbours and their distance in Å.
Atoms (fractional coordinates):
Ca 0.0000 0.0000 0.5000  4 K 3.25, 4 Ir 3.25, 4 Ca 3.47
Ca 0.0000 0.5000 0.0000  4 K 3.25, 4 Ir 3.25, 4 Ca 3.47
Ir 0.5000 0.5000 0.5000  8 Ca 3.25, 4 K 3.47
K 0.5000 0.0000 0.0000  8 Ca 3.25, 4 Ir 3.47

Offset from the most stable computed form, meV per atom: 325.5
Crystal system: tetragonal
DOS at the Fermi energy, states/eV/atom: 0.21
Energy relative to the elements, eV per atom: 0.33



Entry 6:
A PBEsol-optimized structure of KPb2Se, computed with meta-GGA SCAN.

a = 4.0449 Å, b = 4.0449 Å, c = 7.5485 Å
α = 90.00°, β = 90.00°, γ = 90.00°
Last column: nearest neighbours and their distance in Å.
Atoms (fractional coordinates):
K 0.5000 0.5000 0.5000  8 Pb 3.69, 2 Se 3.77, 4 K 4.04
Pb 0.0000 0.0000 0.8099  1 Pb 2.87, 4 Se 3.20
Pb 0.0000 0.0000 0.1901  1 Pb 2.87, 4 Se 3.20
Se 0.5000 0.5000 0.0000  8 Pb 3.20

E, eV for the cell shown: -180.8
Crystal system: tetragonal
DOS at the Fermi energy, states/eV/atom: 0.49



Entry 7:
A PBEsol-optimized structure of Zr2Br, computed with meta-GGA SCAN.

a = 3.1602 Å, b = 3.1602 Å, c = 6.8023 Å
α = 103.43°, β = 103.43°, γ = 90.00°
Last column: nearest neighbours and their distance in Å.
Atoms (fractional coordinates):
Br 0.5000 0.5000 0.0000  8 Zr 3.08, 4 Br 3.16
Zr 0.1653 0.1653 0.3305  4 Br 3.08, 8 Zr 3.12-3.16
Zr 0.8347 0.8347 0.6695  4 Br 3.08, 8 Zr 3.12-3.16

E, eV for the cell shown: -81.7
Crystal system: tetragonal
DOS at the Fermi energy, states/eV/atom: 0.71



Entry 8:
A PBEsol-optimized structure of TaCoW, computed with meta-GGA SCAN.

a = 2.7661 Å, b = 3.4148 Å, c = 5.1098 Å
α = 109.52°, β = 105.70°, γ = 90.00°
Last column: nearest neighbours and their distance in Å.
Atoms (fractional coordinates):
Co 0.0058 0.0058 0.0117  4 W 2.58, 4 Ta 2.67, 2 Co 2.77
Ta 0.3414 0.3414 0.6827  4 Co 2.67, 2 Ta 2.77, 5 W 2.80-2.87
W 0.6528 0.6528 0.3056  4 Co 2.58, 2 W 2.77, 5 Ta 2.80-2.87

Offset from the most stable computed form, meV per atom: 0.0
Crystal system: orthorhombic
DOS at the Fermi energy, states/eV/atom: 0.95
Energy relative to the elements, eV per atom: 0.25



Entry 9:
A PBEsol-optimized structure of Li2In3, computed with meta-GGA SCAN.

a = 4.6216 Å, b = 4.6216 Å, c = 5.5871 Å
α = 90.00°, β = 90.00°, γ = 120.00°
Last column: nearest neighbours and their distance in Å.
Atoms (fractional coordinates):
In 0.0000 0.0000 0.0000  6 Li 2.78
In 0.3333 0.6667 0.3584  5 Li 2.79-2.93, 3 In 3.10
In 0.6667 0.3333 0.6415  5 Li 2.79-2.93, 3 In 3.10
Li 0.3333 0.6667 0.8575  8 In 2.78-2.93, 3 Li 3.11
Li 0.6667 0.3333 0.1425  8 In 2.78-2.93, 3 Li 3.11

Offset from the most stable computed form, meV per atom: 0.0
Crystal system: trigonal
DOS at the Fermi energy, states/eV/atom: 0.35
Energy relative to the elements, eV per atom: -0.26



Entry 10:
A PBEsol-optimized structure of NiOs, computed with meta-GGA SCAN.

a = 2.6745 Å, b = 4.4165 Å, c = 4.9001 Å
α = 116.91°, β = 105.84°, γ = 90.00°
Last column: nearest neighbours and their distance in Å.
Atoms (fractional coordinates):
Ni 0.3717 0.0424 0.7435  5 Ni 2.53-2.67, 7 Os 2.56-2.61
Ni 0.6283 0.9576 0.2565  5 Ni 2.53-2.67, 7 Os 2.56-2.61
Os 0.8774 0.5551 0.7547  7 Ni 2.56-2.61, 5 Os 2.58-2.67
Os 0.1226 0.4449 0.2453  7 Ni 2.56-2.61, 5 Os 2.58-2.67

Crystal system: monoclinic
DOS at the Fermi energy, states/eV/atom: 1.10
Energy relative to the elements, eV per atom: 0.18



Entry 11:
A PBEsol-optimized structure of NaLaNb2O7, computed with meta-GGA SCAN.

a = 3.9041 Å, b = 3.9041 Å, c = 11.0216 Å
α = 100.20°, β = 100.20°, γ = 90.00°
Last column: nearest neighbours and their distance in Å.
Atoms (fractional coordinates):
Na 0.7500 0.2500 0.5000  4 O 2.33
Nb 0.1056 0.1056 0.2111  5 O 1.80-2.00
Nb 0.8944 0.8944 0.7889  5 O 1.80-2.00
O 0.9144 0.4144 0.8287  2 Nb 2.00
O 0.0000 0.0000 0.0000  2 Nb 2.25
O 0.5856 0.0856 0.1713  2 Nb 2.00
O 0.1901 0.1901 0.3801  1 Nb 1.80
O 0.4157 0.9157 0.8315  2 Nb 2.00
O 0.8099 0.8099 0.6199  1 Nb 1.80
O 0.0843 0.5843 0.1685  2 Nb 2.00
La 0.5000 0.5000 0.0000  12 O 2.65-2.76

E, eV for the cell shown: -189.8
Crystal system: tetragonal
DOS at the Fermi energy, states/eV/atom: 0.00



Entry 12:
A PBEsol-optimized structure of PSeIO2, computed with meta-GGA SCAN.

a = 3.8267 Å, b = 3.8267 Å, c = 5.2878 Å
α = 90.00°, β = 90.00°, γ = 90.00°
Last column: nearest neighbours and their distance in Å.
Atoms (fractional coordinates):
I 0.5000 0.5000 0.5000  4 P 2.71
P 0.0000 0.0000 0.5000  2 Se 2.64, 4 I 2.71
O 0.0000 0.5000 0.0000  2 Se 1.91
O 0.5000 0.0000 0.0000  2 Se 1.91
Se 0.0000 0.0000 0.0000  4 O 1.91

E, eV for the cell shown: -78.9
Crystal system: tetragonal
DOS at the Fermi energy, states/eV/atom: 0.40



Entry 13:
A PBEsol-optimized structure of Ca3SnH2, computed with meta-GGA SCAN.

a = 5.1994 Å, b = 7.0799 Å, c = 7.0799 Å
α = 104.24°, β = 90.00°, γ = 90.00°
Last column: nearest neighbours and their distance in Å.
Atoms (fractional coordinates):
Ca 0.2500 0.8892 0.1108  4 H 2.22
Ca 0.2500 0.4080 0.1864  2 H 2.20
Ca 0.7500 0.1864 0.4080  2 H 2.20
Ca 0.2500 0.8136 0.5920  2 H 2.20
Ca 0.7500 0.5920 0.8136  2 H 2.20
Ca 0.7500 0.1108 0.8892  4 H 2.22
Sn 0.7500 0.6909 0.3091  8 Ca 3.27-3.42
Sn 0.2500 0.3091 0.6909  8 Ca 3.27-3.42
H 0.0000 0.1508 0.1508  4 Ca 2.20-2.22
H 0.5000 0.1508 0.1508  4 Ca 2.20-2.22
H 0.0000 0.8492 0.8492  4 Ca 2.20-2.22
H 0.5000 0.8492 0.8492  4 Ca 2.20-2.22

E, eV for the cell shown: -152.3
Crystal system: orthorhombic



Entry 14:
A PBEsol-optimized structure of SrScAg, computed with meta-GGA SCAN.

a = 4.8911 Å, b = 4.8911 Å, c = 4.8911 Å
α = 60.00°, β = 60.00°, γ = 60.00°
Last column: nearest neighbours and their distance in Å.
Atoms (fractional coordinates):
Ag 0.5000 0.5000 0.5000  4 Sc 3.00
Sc 0.2500 0.2500 0.2500  4 Ag 3.00, 4 Sr 3.00
Sr 0.0000 0.0000 0.0000  4 Sc 3.00

Offset from the most stable computed form, meV per atom: 443.9
Crystal system: cubic
DOS at the Fermi energy, states/eV/atom: 1.25
Energy relative to the elements, eV per atom: 0.55



Entry 15:
A PBEsol-optimized structure of AlCuNi, computed with meta-GGA SCAN.

a = 4.0594 Å, b = 4.0594 Å, c = 4.9326 Å
α = 90.00°, β = 90.00°, γ = 120.00°
Last column: nearest neighbours and their distance in Å.
Atoms (fractional coordinates):
Ni 0.6667 0.3333 0.7500  5 Al 2.34-2.47
Ni 0.3333 0.6667 0.2500  5 Al 2.34-2.47
Al 0.3333 0.6667 0.7500  5 Ni 2.34-2.47
Al 0.6667 0.3333 0.2500  5 Ni 2.34-2.47
Cu 0.0000 0.0000 0.0000  2 Cu 2.47, 6 Ni 2.65, 6 Al 2.65
Cu 0.0000 0.0000 0.5000  2 Cu 2.47, 6 Ni 2.65, 6 Al 2.65

Offset from the most stable computed form, meV per atom: 0.0
Crystal system: hexagonal
DOS at the Fermi energy, states/eV/atom: 0.49
Energy relative to the elements, eV per atom: -0.43